[1]
Density functional theory data (PBE) for a geometry-optimized MgPRhS2 structure.

The structure in POSCAR format:
```
MgPRhS2
1.0
-2.288 3.636 -2.396
-3.108 -3.259 -1.978
-2.657 0.517 3.322
P S Rh Mg
1 2 1 1
direct
0.000 0.000 0.500
0.000 0.500 0.000
0.500 0.000 0.000
0.000 0.000 0.000
0.500 0.500 0.500
```

The density of states at the Fermi level comes out at 2.80 states/eV/cell. The formation energy from raw total energies comes out at 127 meV per atom. The value obtained for the total energy is -4.40 eV/atom.

***

[2]
Density functional theory data (PBE) for a geometry-optimized MgP2RhS structure.

The structure in POSCAR format:
```
MgP2RhS
1.0
-1.662 -4.307 0.528
4.241 -1.493 1.171
-0.911 0.896 4.444
P S Rh Mg
2 1 1 1
direct
0.000 0.500 0.000
0.500 0.000 0.000
0.000 0.000 0.500
0.500 0.500 0.500
0.000 0.000 0.000
```

The density of states at the Fermi level comes out at 5.11 states/eV/cell. The formation energy from raw total energies comes out at 1077 meV per atom. The value obtained for the total energy is -3.70 eV/atom.

***

[3]
Density functional theory data (PBE) for a geometry-optimized MgP2RhS structure.

The structure in POSCAR format:
```
MgP2RhS
1.0
4.446 0.000 0.000
0.000 4.446 0.000
0.000 0.000 5.265
P S Rh Mg
2 1 1 1
direct
0.000 0.500 0.000
0.500 0.000 0.000
0.000 0.000 0.500
0.000 0.000 0.000
0.500 0.500 0.500
```

The density of states at the Fermi level comes out at 2.97 states/eV/cell. The formation energy from raw total energies comes out at 245 meV per atom. The value obtained for the total energy is -4.53 eV/atom.

***

[4]
Density functional theory data (PBE) for a geometry-optimized MgPRhS2 structure.

The structure in POSCAR format:
```
MgPRhS2
1.0
4.624 0.000 0.000
0.000 4.624 0.000
0.000 0.000 4.698
P S Rh Mg
1 2 1 1
direct
0.000 0.000 0.500
0.000 0.500 0.000
0.500 0.000 0.000
0.500 0.500 0.500
0.000 0.000 0.000
```

The density of states at the Fermi level comes out at 5.50 states/eV/cell. The formation energy from raw total energies comes out at 890 meV per atom. The value obtained for the total energy is -3.63 eV/atom.

***

[5]
Density functional theory data (PBE) for a geometry-optimized Mg2ScP2Rh5 structure.

The structure in POSCAR format:
```
Mg2ScP2Rh5
1.0
3.399 0.000 0.000
0.000 9.519 0.000
0.000 0.000 9.519
Mg Sc P Rh
4 2 4 10
direct
0.000 0.673 0.173
0.000 0.327 0.827
0.000 0.173 0.327
0.000 0.827 0.673
0.000 0.000 0.000
0.000 0.500 0.500
0.000 0.126 0.626
0.000 0.874 0.374
0.000 0.626 0.874
0.000 0.374 0.126
0.500 0.215 0.073
0.500 0.785 0.927
0.500 0.073 0.785
0.500 0.715 0.427
0.500 0.927 0.215
0.500 0.285 0.573
0.500 0.573 0.715
0.500 0.427 0.285
0.500 0.500 0.000
0.500 0.000 0.500
```

The density of states at the Fermi level comes out at 8.46 states/eV/cell. The value obtained for the total energy is -6.45 eV/atom.

***

[6]
Density functional theory data (PBE) for a geometry-optimized MgScP2Rh5 structure.

The structure in POSCAR format:
```
MgScP2Rh5
1.0
-0.920 0.694 -3.882
1.198 -3.749 -0.954
-7.637 -2.775 1.314
Mg Sc P Rh
1 1 2 5
direct
0.000 0.000 0.500
0.000 0.000 0.000
0.500 0.500 0.136
0.500 0.500 0.864
0.000 0.500 0.264
0.500 0.000 0.264
0.000 0.500 0.736
0.500 0.000 0.736
0.500 0.500 0.500
```

The density of states at the Fermi level comes out at 7.91 states/eV/cell. The value obtained for the total energy is -6.94 eV/atom.

***

[7]
Density functional theory data (PBE) for a geometry-optimized MgSiPRh2 structure.

The structure in POSCAR format:
```
MgSiPRh2
1.0
4.467 0.000 0.000
0.000 4.508 0.000
0.000 0.000 4.467
P Si Rh Mg
1 1 2 1
direct
0.000 0.500 0.000
0.000 0.000 0.000
0.000 0.000 0.500
0.500 0.000 0.000
0.500 0.500 0.500
```

The density of states at the Fermi level comes out at 4.82 states/eV/cell. The formation energy from raw total energies comes out at 156 meV per atom. The value obtained for the total energy is -5.27 eV/atom.

***

[8]
Density functional theory data (PBE) for a geometry-optimized Sm3MgP2Rh9 structure.

The structure in POSCAR format:
```
Sm3MgP2Rh9
1.0
-6.197 -0.012 -1.089
3.140 -5.440 0.370
-1.384 -0.264 7.879
Sm Mg P Rh
3 1 2 9
direct
0.333 0.667 0.652
0.000 0.000 0.000
0.667 0.333 0.348
0.000 0.000 0.500
0.333 0.667 0.162
0.667 0.333 0.838
0.832 0.168 0.687
0.832 0.663 0.687
0.337 0.168 0.687
0.663 0.832 0.313
0.168 0.337 0.313
0.168 0.832 0.313
0.500 0.000 0.000
0.000 0.500 0.000
0.500 0.500 0.000
```

The density of states at the Fermi level comes out at 1.16 states/eV/cell. The value obtained for the total energy is -6.73 eV/atom.

***

[9]
Density functional theory data (PBE) for a geometry-optimized Sm2MgP3Rh4 structure.

The structure in POSCAR format:
```
Sm2MgP3Rh4
1.0
-1.441 -0.640 -3.670
-3.414 -1.348 1.575
-3.978 9.885 -0.161
Sm Mg P Rh
2 1 3 4
direct
0.500 0.000 0.240
0.000 0.500 0.760
0.500 0.500 0.500
0.000 0.000 0.500
0.500 0.000 0.870
0.000 0.500 0.130
0.500 0.500 0.000
0.000 0.000 0.000
0.500 0.000 0.654
0.000 0.500 0.346
```

The density of states at the Fermi level comes out at 3.57 states/eV/cell. The value obtained for the total energy is -6.68 eV/atom.

***

[10]
Density functional theory data (PBE) for a geometry-optimized Mg2SnP2Rh5 structure.

The structure in POSCAR format:
```
Mg2SnP2Rh5
1.0
3.443 0.000 0.000
0.000 9.481 0.000
0.000 0.000 9.481
Mg Sn P Rh
4 2 4 10
direct
0.000 0.673 0.173
0.000 0.327 0.827
0.000 0.173 0.327
0.000 0.827 0.673
0.000 0.000 0.000
0.000 0.500 0.500
0.000 0.126 0.626
0.000 0.874 0.374
0.000 0.626 0.874
0.000 0.374 0.126
0.500 0.215 0.074
0.500 0.785 0.926
0.500 0.074 0.785
0.500 0.715 0.426
0.500 0.926 0.215
0.500 0.285 0.574
0.500 0.574 0.715
0.500 0.426 0.285
0.500 0.500 0.000
0.500 0.000 0.500
```

The density of states at the Fermi level comes out at 8.59 states/eV/cell. The value obtained for the total energy is -6.14 eV/atom.

***

[11]
Density functional theory data (PBE) for a geometry-optimized Mg2Sn2PRh4 structure.

The structure in POSCAR format:
```
Mg2Sn2PRh4
1.0
-0.796 5.556 1.920
-2.965 -4.316 2.787
5.320 -2.470 0.882
Mg Sn P Rh
2 2 1 4
direct
0.000 0.699 0.699
0.000 0.301 0.301
0.500 0.750 0.250
0.500 0.250 0.750
0.000 0.000 0.000
0.000 0.743 0.257
0.485 0.743 0.743
0.000 0.257 0.743
0.515 0.257 0.257
```

The density of states at the Fermi level comes out at 5.85 states/eV/cell. The value obtained for the total energy is -5.52 eV/atom.

***

[12]
Density functional theory data (PBE) for a geometry-optimized SrMgPRh structure.

The structure in POSCAR format:
```
SrMgPRh
1.0
-2.783 2.808 -0.670
-2.631 -2.850 -1.017
-3.533 -0.791 11.360
Sr Mg P Rh
2 2 2 2
direct
0.750 0.750 0.230
0.250 0.250 0.770
0.250 0.750 0.500
0.750 0.250 0.500
0.750 0.750 0.889
0.250 0.250 0.111
0.750 0.250 0.000
0.250 0.750 0.000
```

The density of states at the Fermi level comes out at 4.54 states/eV/cell. The value obtained for the total energy is -4.59 eV/atom.